A plane-wave DFT calculation with PBE-GGA was carried out for a relaxed LaSbI2N crystal.

Cell: 6.3457 6.3457 6.5032 Å, 90.00 90.00 90.00°
Sites, in units of the cell vectors:
N (0.5000, 0.5000, 0.5000)
I (0.5000, 0.0000, 0.0000)
I (0.0000, 0.5000, 0.0000)
Sb (0.0000, 0.0000, 0.5000)
La (0.0000, 0.0000, 0.0000)

crystal system	tetragonal
mass density	3.4	Mg/m³
V	52.374	Å³/atom
formation energy (no corrections)	0.512	eV/atom
space group	P4/mmm (123)
energy above the most stable polymorph in this dataset	567	meV/atom

---

A plane-wave DFT calculation with PBE-GGA was carried out for a relaxed LaSbI2N crystal.

Cell: 6.3168 6.3168 4.0359 Å, 90.00 90.00 90.00°
Sites, in units of the cell vectors:
La (0.5000, 0.5000, 0.5000)
I (0.0000, 0.5000, 0.0000)
I (0.5000, 0.0000, 0.0000)
Sb (0.0000, 0.0000, 0.0000)
N (0.0000, 0.0000, 0.5000)

crystal system	tetragonal
mass density	5.4	Mg/m³
V	32.208	Å³/atom
formation energy (no corrections)	0.130	eV/atom
space group	P4/mmm (123)
energy above the most stable polymorph in this dataset	185	meV/atom

---

A plane-wave DFT calculation with PBE-GGA was carried out for a relaxed LaSbI2N crystal.

Cell: 6.5040 6.5040 4.1249 Å, 90.00 90.00 90.00°
Sites, in units of the cell vectors:
I (0.5000, 0.0000, 0.0000)
I (0.0000, 0.5000, 0.0000)
Sb (0.5000, 0.5000, 0.5000)
N (0.0000, 0.0000, 0.5000)
La (0.0000, 0.0000, 0.0000)

crystal system	tetragonal
mass density	5.0	Mg/m³
V	34.898	Å³/atom
formation energy (no corrections)	-0.055	eV/atom
space group	P4/mmm (123)
energy above the most stable polymorph in this dataset	0	meV/atom

---

A plane-wave DFT calculation with PBE-GGA was carried out for a relaxed LaScI2N crystal.

Cell: 6.4619 6.4619 4.1612 Å, 90.00 90.00 90.00°
Sites, in units of the cell vectors:
I (0.0000, 0.5000, 0.0000)
I (0.5000, 0.0000, 0.0000)
La (0.0000, 0.0000, 0.0000)
Sc (0.5000, 0.5000, 0.5000)
N (0.0000, 0.0000, 0.5000)

crystal system	tetragonal
mass density	4.3	Mg/m³
V	34.751	Å³/atom
formation energy (no corrections)	-0.239	eV/atom
space group	P4/mmm (123)
energy above the most stable polymorph in this dataset	433	meV/atom

---

A plane-wave DFT calculation with PBE-GGA was carried out for a relaxed LaScI2N crystal.

Cell: 5.8487 5.8487 3.9915 Å, 90.00 90.00 90.00°
Sites, in units of the cell vectors:
Sc (0.0000, 0.0000, 0.0000)
La (0.5000, 0.5000, 0.5000)
I (0.5000, 0.0000, 0.0000)
I (0.0000, 0.5000, 0.0000)
N (0.0000, 0.0000, 0.5000)

crystal system	tetragonal
mass density	5.5	Mg/m³
V	27.308	Å³/atom
formation energy (no corrections)	-0.672	eV/atom
space group	P4/mmm (123)
energy above the most stable polymorph in this dataset	0	meV/atom

---

A plane-wave DFT calculation with PBE-GGA was carried out for a relaxed LaSiIN2 crystal.

Cell: 4.3746 4.3746 6.5367 Å, 90.00 90.00 90.00°
Sites, in units of the cell vectors:
I (0.0000, 0.0000, 0.5000)
Si (0.5000, 0.5000, 0.5000)
N (0.0000, 0.5000, 0.0000)
N (0.5000, 0.0000, 0.0000)
La (0.0000, 0.0000, 0.0000)

crystal system	tetragonal
mass density	4.3	Mg/m³
V	25.018	Å³/atom
formation energy (no corrections)	0.945	eV/atom
space group	P4/mmm (123)
energy above the most stable polymorph in this dataset	512	meV/atom

---

A plane-wave DFT calculation with PBE-GGA was carried out for a relaxed La6Si2I3N crystal.

Cell: 7.2932 7.2932 8.3281 Å, 98.40 98.40 119.92°
Sites, in units of the cell vectors:
La (0.2414, 0.2414, 0.8106)
La (0.3664, 0.0617, 0.1860)
La (0.9383, 0.6336, 0.8140)
La (0.6336, 0.9383, 0.8140)
La (0.0617, 0.3664, 0.1860)
La (0.7586, 0.7586, 0.1894)
I (0.1746, 0.8254, 0.5000)
I (0.5000, 0.5000, 0.5000)
I (0.8254, 0.1746, 0.5000)
Si (0.3342, 0.6658, 0.0000)
Si (0.6658, 0.3342, 0.0000)
N (0.0000, 0.0000, 0.0000)

crystal system	monoclinic
mass density	5.8	Mg/m³
V	30.602	Å³/atom
formation energy (no corrections)	-1.079	eV/atom
space group	C2/m (12)

---

A plane-wave DFT calculation with PBE-GGA was carried out for a relaxed LaSiIN2 crystal.

Cell: 4.1442 4.1442 5.0992 Å, 90.00 90.00 90.00°
Sites, in units of the cell vectors:
N (0.5000, 0.0000, 0.0000)
N (0.0000, 0.5000, 0.0000)
Si (0.0000, 0.0000, 0.0000)
I (0.0000, 0.0000, 0.5000)
La (0.5000, 0.5000, 0.5000)

crystal system	tetragonal
mass density	6.1	Mg/m³
V	17.515	Å³/atom
formation energy (no corrections)	0.433	eV/atom
space group	P4/mmm (123)
energy above the most stable polymorph in this dataset	0	meV/atom

---

A plane-wave DFT calculation with PBE-GGA was carried out for a relaxed LaSmIN crystal.

Cell: 3.8047 3.8110 8.0793 Å, 89.97 103.62 120.09°
Sites, in units of the cell vectors:
La (0.5213, 0.1584, 0.6953)
N (0.3147, 0.5555, 0.8851)
I (0.9599, 0.3776, 0.3528)
Sm (0.0820, 0.9393, 0.0364)

crystal system	monoclinic
mass density	7.3	Mg/m³
V	24.385	Å³/atom
formation energy (no corrections)	-1.229	eV/atom
space group	Cm (8)

---

A plane-wave DFT calculation with PBE-GGA was carried out for a relaxed LaSn2IN crystal.

Cell: 4.9847 5.1661 4.9847 Å, 90.00 90.00 90.00°
Sites, in units of the cell vectors:
La (0.0000, 0.5000, 0.0000)
N (0.0000, 0.0000, 0.0000)
I (0.5000, 0.5000, 0.5000)
Sn (0.0000, 0.0000, 0.5000)
Sn (0.5000, 0.0000, 0.0000)

crystal system	tetragonal
mass density	6.7	Mg/m³
V	25.673	Å³/atom
formation energy (no corrections)	-0.165	eV/atom
space group	P4/mmm (123)

---

A plane-wave DFT calculation with PBE-GGA was carried out for a relaxed LaTaI2N crystal.

Cell: 6.3610 6.3610 4.0702 Å, 90.00 90.00 90.00°
Sites, in units of the cell vectors:
I (0.5000, 0.0000, 0.0000)
I (0.0000, 0.5000, 0.0000)
Ta (0.5000, 0.5000, 0.5000)
La (0.0000, 0.0000, 0.0000)
N (0.0000, 0.0000, 0.5000)

crystal system	tetragonal
mass density	5.9	Mg/m³
V	32.939	Å³/atom
formation energy (no corrections)	0.838	eV/atom
space group	P4/mmm (123)
energy above the most stable polymorph in this dataset	1093	meV/atom

---

A plane-wave DFT calculation with PBE-GGA was carried out for a relaxed LaTaI2N crystal.

Cell: 5.7849 5.7849 3.9630 Å, 90.00 90.00 90.00°
Sites, in units of the cell vectors:
I (0.5000, 0.0000, 0.0000)
I (0.0000, 0.5000, 0.0000)
N (0.0000, 0.0000, 0.5000)
La (0.5000, 0.5000, 0.5000)
Ta (0.0000, 0.0000, 0.0000)

crystal system	tetragonal
mass density	7.4	Mg/m³
V	26.524	Å³/atom
formation energy (no corrections)	-0.256	eV/atom
space group	P4/mmm (123)
energy above the most stable polymorph in this dataset	0	meV/atom

---

A plane-wave DFT calculation with PBE-GGA was carried out for a relaxed La2TbI2N2 crystal.

Cell: 4.5558 4.5558 10.1812 Å, 102.93 102.93 90.00°
Sites, in units of the cell vectors:
La (0.5784, 0.5784, 0.1568)
La (0.4216, 0.4216, 0.8432)
N (0.5000, 0.0000, 0.0000)
N (0.0000, 0.5000, 0.0000)
I (0.8339, 0.8339, 0.6678)
I (0.1661, 0.1661, 0.3322)
Tb (0.0000, 0.0000, 0.0000)

crystal system	tetragonal
mass density	6.0	Mg/m³
V	28.637	Å³/atom
formation energy (no corrections)	-1.321	eV/atom
space group	I4/mmm (139)

---

A plane-wave DFT calculation with PBE-GGA was carried out for a relaxed LaTe2IN crystal.

Cell: 6.2782 6.2782 6.3502 Å, 90.00 90.00 90.00°
Sites, in units of the cell vectors:
Te (0.5000, 0.0000, 0.0000)
Te (0.0000, 0.5000, 0.0000)
I (0.0000, 0.0000, 0.5000)
La (0.0000, 0.0000, 0.0000)
N (0.5000, 0.5000, 0.5000)

crystal system	tetragonal
mass density	3.5	Mg/m³
V	50.060	Å³/atom
formation energy (no corrections)	0.560	eV/atom
space group	P4/mmm (123)
energy above the most stable polymorph in this dataset	678	meV/atom

---

A plane-wave DFT calculation with PBE-GGA was carried out for a relaxed LaTe2IN crystal.

Cell: 5.9715 5.9715 4.0831 Å, 90.00 90.00 90.00°
Sites, in units of the cell vectors:
Te (0.0000, 0.5000, 0.0000)
Te (0.5000, 0.0000, 0.0000)
La (0.5000, 0.5000, 0.5000)
I (0.0000, 0.0000, 0.0000)
N (0.0000, 0.0000, 0.5000)

crystal system	tetragonal
mass density	6.1	Mg/m³
V	29.119	Å³/atom
formation energy (no corrections)	0.380	eV/atom
space group	P4/mmm (123)
energy above the most stable polymorph in this dataset	498	meV/atom

---

A plane-wave DFT calculation with PBE-GGA was carried out for a relaxed La2TeI2N crystal.

Cell: 4.3303 8.8671 11.8884 Å, 90.00 90.00 90.00°
Sites, in units of the cell vectors:
La (0.0000, 0.2181, 0.7007)
La (0.5000, 0.8292, 0.5666)
La (0.5000, 0.3292, 0.4334)
La (0.0000, 0.7181, 0.2993)
I (0.5000, 0.3722, 0.8728)
I (0.0000, 0.3697, 0.2166)
I (0.5000, 0.8722, 0.1272)
I (0.0000, 0.8697, 0.7834)
Te (0.0000, 0.0425, 0.4392)
Te (0.0000, 0.5425, 0.5608)
N (0.5000, 0.2138, 0.6069)
N (0.5000, 0.7138, 0.3931)

crystal system	orthorhombic
mass density	4.9	Mg/m³
V	38.040	Å³/atom
formation energy (no corrections)	-1.273	eV/atom
space group	Pmc2_1 (26)

---

A plane-wave DFT calculation with PBE-GGA was carried out for a relaxed LaTe2IN crystal.

Cell: 6.5823 6.5823 4.0382 Å, 90.00 90.00 90.00°
Sites, in units of the cell vectors:
I (0.5000, 0.5000, 0.5000)
N (0.0000, 0.0000, 0.5000)
Te (0.5000, 0.0000, 0.0000)
Te (0.0000, 0.5000, 0.0000)
La (0.0000, 0.0000, 0.0000)

crystal system	tetragonal
mass density	5.1	Mg/m³
V	34.993	Å³/atom
formation energy (no corrections)	0.237	eV/atom
space group	P4/mmm (123)
energy above the most stable polymorph in this dataset	355	meV/atom

---

A plane-wave DFT calculation with PBE-GGA was carried out for a relaxed LaTe2IN crystal.

Cell: 5.0732 5.0732 4.8870 Å, 90.00 90.00 90.00°
Sites, in units of the cell vectors:
Te (0.5000, 0.0000, 0.0000)
Te (0.0000, 0.5000, 0.0000)
N (0.0000, 0.0000, 0.0000)
La (0.5000, 0.5000, 0.5000)
I (0.0000, 0.0000, 0.5000)

crystal system	tetragonal
mass density	7.1	Mg/m³
V	25.156	Å³/atom
formation energy (no corrections)	-0.118	eV/atom
space group	P4/mmm (123)
energy above the most stable polymorph in this dataset	0	meV/atom

---

A plane-wave DFT calculation with PBE-GGA was carried out for a relaxed LaTiIN2 crystal.

Cell: 4.3349 4.3349 6.3832 Å, 90.00 90.00 90.00°
Sites, in units of the cell vectors:
N (0.0000, 0.5000, 0.0000)
N (0.5000, 0.0000, 0.0000)
I (0.0000, 0.0000, 0.5000)
Ti (0.5000, 0.5000, 0.5000)
La (0.0000, 0.0000, 0.0000)

crystal system	tetragonal
mass density	4.7	Mg/m³
V	23.989	Å³/atom
formation energy (no corrections)	0.873	eV/atom
space group	P4/mmm (123)
energy above the most stable polymorph in this dataset	1090	meV/atom

---

A plane-wave DFT calculation with PBE-GGA was carried out for a relaxed LaTiIN2 crystal.

Cell: 4.2303 4.2303 5.2179 Å, 90.00 90.00 90.00°
Sites, in units of the cell vectors:
N (0.0000, 0.5000, 0.0000)
N (0.5000, 0.0000, 0.0000)
I (0.0000, 0.0000, 0.5000)
Ti (0.0000, 0.0000, 0.0000)
La (0.5000, 0.5000, 0.5000)

crystal system	tetragonal
mass density	6.1	Mg/m³
V	18.675	Å³/atom
formation energy (no corrections)	-0.217	eV/atom
space group	P4/mmm (123)
energy above the most stable polymorph in this dataset	0	meV/atom

---

A plane-wave DFT calculation with PBE-GGA was carried out for a relaxed LaTlIN2 crystal.

Cell: 4.5472 4.5472 6.7956 Å, 90.00 90.00 90.00°
Sites, in units of the cell vectors:
N (0.0000, 0.5000, 0.0000)
N (0.5000, 0.0000, 0.0000)
Tl (0.5000, 0.5000, 0.5000)
I (0.0000, 0.0000, 0.5000)
La (0.0000, 0.0000, 0.0000)

crystal system	tetragonal
mass density	5.9	Mg/m³
V	28.102	Å³/atom
formation energy (no corrections)	0.404	eV/atom
space group	P4/mmm (123)
energy above the most stable polymorph in this dataset	0	meV/atom

---

A plane-wave DFT calculation with PBE-GGA was carried out for a relaxed LaTlIN2 crystal.

Cell: 4.5154 4.5154 5.8031 Å, 90.00 90.00 90.00°
Sites, in units of the cell vectors:
La (0.5000, 0.5000, 0.5000)
Tl (0.0000, 0.0000, 0.0000)
N (0.0000, 0.5000, 0.0000)
N (0.5000, 0.0000, 0.0000)
I (0.0000, 0.0000, 0.5000)

crystal system	tetragonal
mass density	7.0	Mg/m³
V	23.663	Å³/atom
formation energy (no corrections)	0.962	eV/atom
space group	P4/mmm (123)
energy above the most stable polymorph in this dataset	558	meV/atom

---

A plane-wave DFT calculation with PBE-GGA was carried out for a relaxed LaVI2N crystal.

Cell: 6.4702 6.4702 4.1774 Å, 90.00 90.00 90.00°
Sites, in units of the cell vectors:
V (0.5000, 0.5000, 0.5000)
I (0.5000, 0.0000, 0.0000)
I (0.0000, 0.5000, 0.0000)
La (0.0000, 0.0000, 0.0000)
N (0.0000, 0.0000, 0.5000)

crystal system	tetragonal
mass density	4.3	Mg/m³
V	34.976	Å³/atom
formation energy (no corrections)	0.192	eV/atom
space group	P4/mmm (123)
energy above the most stable polymorph in this dataset	622	meV/atom

---

A plane-wave DFT calculation with PBE-GGA was carried out for a relaxed LaVI2N crystal.

Cell: 5.7111 5.7111 3.7781 Å, 90.00 90.00 90.00°
Sites, in units of the cell vectors:
I (0.0000, 0.5000, 0.0000)
I (0.5000, 0.0000, 0.0000)
N (0.0000, 0.0000, 0.5000)
La (0.5000, 0.5000, 0.5000)
V (0.0000, 0.0000, 0.0000)

crystal system	tetragonal
mass density	6.2	Mg/m³
V	24.646	Å³/atom
formation energy (no corrections)	-0.430	eV/atom
space group	P4/mmm (123)
energy above the most stable polymorph in this dataset	0	meV/atom

---

A plane-wave DFT calculation with PBE-GGA was carried out for a relaxed LaVIN2 crystal.

Cell: 4.1679 4.1679 5.1505 Å, 90.00 90.00 90.00°
Sites, in units of the cell vectors:
N (0.5000, 0.0000, 0.0000)
N (0.0000, 0.5000, 0.0000)
La (0.5000, 0.5000, 0.5000)
V (0.0000, 0.0000, 0.0000)
I (0.0000, 0.0000, 0.5000)

crystal system	tetragonal
mass density	6.4	Mg/m³
V	17.895	Å³/atom
formation energy (no corrections)	0.019	eV/atom
space group	P4/mmm (123)
energy above the most stable polymorph in this dataset	0	meV/atom

---

A plane-wave DFT calculation with PBE-GGA was carried out for a relaxed LaVIN2 crystal.

Cell: 4.3406 4.3406 6.5792 Å, 90.00 90.00 90.00°
Sites, in units of the cell vectors:
La (0.0000, 0.0000, 0.0000)
I (0.0000, 0.0000, 0.5000)
N (0.5000, 0.0000, 0.0000)
N (0.0000, 0.5000, 0.0000)
V (0.5000, 0.5000, 0.5000)

crystal system	tetragonal
mass density	4.6	Mg/m³
V	24.791	Å³/atom
formation energy (no corrections)	0.867	eV/atom
space group	P4/mmm (123)
energy above the most stable polymorph in this dataset	848	meV/atom

---

A plane-wave DFT calculation with PBE-GGA was carried out for a relaxed LaWIN2 crystal.

Cell: 4.3375 4.3375 6.7558 Å, 90.00 90.00 90.00°
Sites, in units of the cell vectors:
I (0.0000, 0.0000, 0.5000)
N (0.5000, 0.0000, 0.0000)
N (0.0000, 0.5000, 0.0000)
La (0.0000, 0.0000, 0.0000)
W (0.5000, 0.5000, 0.5000)

crystal system	tetragonal
mass density	6.2	Mg/m³
V	25.421	Å³/atom
formation energy (no corrections)	1.585	eV/atom
space group	P4/mmm (123)
energy above the most stable polymorph in this dataset	1475	meV/atom

---

A plane-wave DFT calculation with PBE-GGA was carried out for a relaxed LaWIN2 crystal.

Cell: 4.1790 4.1790 5.4104 Å, 90.00 90.00 90.00°
Sites, in units of the cell vectors:
W (0.0000, 0.0000, 0.0000)
I (0.0000, 0.0000, 0.5000)
N (0.0000, 0.5000, 0.0000)
N (0.5000, 0.0000, 0.0000)
La (0.5000, 0.5000, 0.5000)

crystal system	tetragonal
mass density	8.4	Mg/m³
V	18.897	Å³/atom
formation energy (no corrections)	0.110	eV/atom
space group	P4/mmm (123)
energy above the most stable polymorph in this dataset	0	meV/atom